VASP calculation (PBE) on an optimized crystal structure of MnTeS3.

The space group is Pm-3m (No. 221) and the conventional cell measures 4.994, 4.994 and 4.994 Å, with angles of 90.00, 90.00 and 90.00 degrees. The inequivalent atoms are Mn at (0.000, 0.000, 0.000), Te at (0.500, 0.500, 0.500) and S at (0.000, 0.500, 0.500).

The calculation puts the energy above the most stable polymorph in this dataset at 0.377 eV per atom. For the uncorrected formation energy, the calculation gives 0.649 eV/atom. The calculation puts the final energy at -4.290 eV per atom.